Entry 1:
5
Lattice="-1.834 1.834 7.265 1.834 -1.834 7.265 1.834 1.834 -7.265" Properties=species:S:1:pos:R:3 comment="Zr2IrPt2 (GGA-PBE, optimized geometry)" m_tot_mub_per_fu=0.000 formation_energy_ev_per_atom=-0.504 de_polymorph_ev_per_atom=0.299 volume_a3_per_cell=97.8 n_ef_per_ev_atom=0.52 pbc="T T T"
Zr 0.000 0.000 1.490
Zr 0.000 0.000 13.040
Ir 0.000 0.000 7.265
Pt 1.834 0.000 3.632
Pt 0.000 1.834 3.632

---

Entry 2:
8
Lattice="-1.972 1.972 9.267 1.972 -1.972 9.267 1.972 1.972 -9.267" Properties=species:S:1:pos:R:3 comment="ZrIr2Pt (GGA-PBE, optimized geometry)" m_tot_mub_per_fu=0.000 formation_energy_ev_per_atom=-0.211 volume_a3_per_cell=144.2 n_ef_per_ev_atom=0.89 pbc="T T T"
Zr 0.000 0.000 0.000
Zr 0.000 1.972 4.634
Ir 0.986 -0.833 6.950
Ir 1.139 0.986 2.317
Ir 0.986 2.806 -2.317
Ir 0.833 0.986 11.584
Pt 1.972 0.000 4.634
Pt 0.000 0.000 9.267

---

Entry 3:
5
Lattice="4.793 0.000 0.000 0.000 4.793 0.000 0.000 0.000 4.793" Properties=species:S:1:pos:R:3 comment="ZrIr3Pt (GGA-PBE, optimized geometry)" m_tot_mub_per_fu=1.401 formation_energy_ev_per_atom=1.835 de_polymorph_ev_per_atom=0.414 volume_a3_per_cell=110.1 n_ef_per_ev_atom=1.77 pbc="T T T"
Zr 0.000 0.000 0.000
Ir 0.000 0.000 2.396
Ir 0.000 2.396 0.000
Ir 2.396 0.000 0.000
Pt 2.396 2.396 2.396

---

Entry 4:
10
Lattice="6.923 -2.111 0.000 6.923 2.111 0.000 -0.123 0.000 5.684" Properties=species:S:1:pos:R:3 comment="ZrIrPt3 (GGA-PBE, optimized geometry)" m_tot_mub_per_fu=0.000 formation_energy_ev_per_atom=-0.615 de_polymorph_ev_per_atom=0.000 volume_a3_per_cell=166.1 n_ef_per_ev_atom=0.67 pbc="T T T"
Zr 1.654 0.000 0.058
Zr 12.069 0.000 5.626
Ir 4.132 0.000 4.127
Ir 9.592 0.000 1.557
Pt 1.385 0.000 2.885
Pt 4.230 0.000 1.461
Pt 6.789 0.000 4.265
Pt 6.935 0.000 1.418
Pt 9.493 0.000 4.222
Pt 12.338 0.000 2.799